Material: YNiTe2N
Method: DFT, PBE-GGA
State: optimized geometry

The calculation puts the energy relative to the elements, uncorrected at -118 meV/atom. The calculation puts the offset from the most stable computed form at 0 meV per atom. The crystal system is tetragonal. The electronic total energy comes out at -27.44 eV/f.u. The calculation puts the density of states at the Fermi level at 0.784 states/eV per atom.

The structure belongs to space group P4/mmm (No. 123); the cell edges are 5.362, 5.362 and 3.634 Å and the angles 90.00°, 90.00° and 90.00°. Symmetry generates all atoms from Y at (0.000, 0.000, 0.000), Ni at (0.500, 0.500, 0.500), Te at (0.000, 0.500, 0.500) and N at (0.500, 0.500, 0.000).